[1]
Al2ReRh after structural relaxation, computed with GGA-PBEsol.

Summary:
Offset from the most stable computed form in eV per formula unit: 0.000
ΔH_f (0 K) in eV/atom: -0.27

Cell: 3.5996 3.5996 8.6081 Å, 90.00 90.00 90.00°
With the nearest neighbours (Å) after each atom.
Space group I-4m2 (No. 119)
Inequivalent atoms, fractional coordinates:
Al 0.0000 0.0000 0.0000 x2  4 Re 2.55, 4 Rh 2.81, 4 Al 2.81
Al 0.0000 0.5000 0.2500 x2  4 Rh 2.55, 4 Al 2.81, 4 Re 2.81
Re 0.0000 0.0000 0.5000 x2  8 Al 2.55-2.81, 4 Rh 2.81
Rh 0.0000 0.5000 0.7500 x2  8 Al 2.55-2.81, 4 Re 2.81

=====

[2]
MnBe2W after structural relaxation, computed with GGA-PBEsol.

Summary:
Offset from the most stable computed form in eV per formula unit: 0.614
ΔH_f (0 K) in eV/atom: 0.15

Cell: 2.8842 2.8842 5.3099 Å, 90.00 90.00 90.00°
With the nearest neighbours (Å) after each atom.
Space group P4mm (No. 99)
Inequivalent atoms, fractional coordinates:
Mn 0.0000 0.0000 0.0000 x1  4 W 2.41, 5 Be 2.42-2.43
Be 0.0000 0.0000 0.5437 x1  4 Be 2.32, 1 Mn 2.42, 4 W 2.59
Be 0.5000 0.5000 0.7500 x1  4 Be 2.32, 4 Mn 2.43
W 0.5000 0.5000 0.2423 x1  4 Mn 2.41, 6 Be 2.59-2.70

=====

[3]
Y2In3 after structural relaxation, computed with GGA-PBEsol.

Summary:
Offset from the most stable computed form in eV per formula unit: 1.235
ΔH_f (0 K) in eV/atom: -0.29

Cell: 5.0605 5.0605 6.3529 Å, 90.00 90.00 120.00°
With the nearest neighbours (Å) after each atom.
Space group P-3m1 (No. 164)
Inequivalent atoms, fractional coordinates:
Y 0.3333 0.6667 0.3296 x2  8 In 3.03-3.32
In 0.0000 0.0000 0.5000 x1  6 Y 3.12
In 0.3333 0.6667 0.8523 x2  5 Y 3.03-3.32

=====

[4]
LaHgIr2 after structural relaxation, computed with GGA-PBEsol.

Summary:
ΔH_f (0 K) in eV/atom: 0.22

Cell: 6.7862 6.7862 6.7862 Å, 90.00 90.00 90.00°
With the nearest neighbours (Å) after each atom.
Space group F-43m (No. 216)
Inequivalent atoms, fractional coordinates:
La 0.0000 0.0000 0.0000 x4  4 Hg 2.94, 4 Ir 2.94
Hg 0.2500 0.2500 0.2500 x4  4 Ir 2.94, 4 La 2.94
Ir 0.0000 0.0000 0.5000 x4  4 Ir 2.94, 4 Hg 2.94
Ir 0.2500 0.2500 0.7500 x4  4 La 2.94, 4 Ir 2.94

=====

[5]
Ca2ScTaOs after structural relaxation, computed with GGA-PBEsol.

Summary:
ΔH_f (0 K) in eV/atom: 0.77

Cell: 5.3700 5.3700 4.8111 Å, 90.00 90.00 90.00°
With the nearest neighbours (Å) after each atom.
Space group P4/mmm (No. 123)
Inequivalent atoms, fractional coordinates:
Ca 0.0000 0.5000 0.0000 x2  2 Os 2.68
Sc 0.0000 0.0000 0.5000 x1  8 Ca 3.60, 4 Ta 3.80
Ta 0.5000 0.5000 0.5000 x1  2 Os 2.41
Os 0.5000 0.5000 0.0000 x1  2 Ta 2.41, 4 Ca 2.68

=====

[6]
BeNbW3 after structural relaxation, computed with GGA-PBEsol.

Summary:
ΔH_f (0 K) in eV/atom: 2.71

Cell: 4.7089 4.7089 4.7089 Å, 90.00 90.00 90.00°
With the nearest neighbours (Å) after each atom.
Space group Pm-3m (No. 221)
Inequivalent atoms, fractional coordinates:
Be 0.0000 0.0000 0.0000 x1  12 W 3.33
Nb 0.5000 0.5000 0.5000 x1  6 W 2.35
W 0.0000 0.5000 0.5000 x3  2 Nb 2.35

=====

[7]
LiNiSnO4 after structural relaxation, computed with GGA-PBEsol.

Summary:
Offset from the most stable computed form in eV per formula unit: 0.029

Cell: 6.0218 6.2757 8.0678 Å, 90.00 90.00 90.00°
With the nearest neighbours (Å) after each atom.
Space group Imma (No. 74)
Inequivalent atoms, fractional coordinates:
Li 0.0000 0.0000 0.0000 x4  6 O 2.03-2.23
Ni 0.2500 0.2500 0.2500 x4  6 O 1.92-1.97
Sn 0.0000 0.0000 0.5000 x4  6 O 2.04-2.12
O 0.0000 0.0470 0.2493 x8  2 Ni 1.97, 1 Li 2.03, 1 Sn 2.04
O 0.2369 0.2500 0.4879 x8  1 Ni 1.92, 2 Sn 2.12

=====

[8]
Rb3LuV2O8 after structural relaxation, computed with GGA-PBEsol.

Summary:
Total energy in eV per atom: -7.5443

Cell: 5.9095 5.9095 7.7709 Å, 90.00 90.00 120.00°
With the nearest neighbours (Å) after each atom.
Space group P-3m1 (No. 164)
Inequivalent atoms, fractional coordinates:
Rb 0.0000 0.0000 0.0000 x1  12 O 3.15-3.43
Rb 0.3333 0.6667 0.6993 x2  7 O 2.70-2.97
Lu 0.0000 0.0000 0.5000 x1  6 O 2.19
V 0.3333 0.6667 0.2604 x2  4 O 1.66-1.74
O 0.1733 0.3465 0.3356 x6  1 V 1.74
O 0.3333 0.6667 0.0474 x2  1 V 1.66

=====

[9]
EuGe after structural relaxation, computed with GGA-PBEsol.

Summary:
ΔH_f (0 K) in eV/atom: -0.77

Cell: 4.5217 10.9902 4.0170 Å, 90.00 90.00 90.00°
With the nearest neighbours (Å) after each atom.
Space group Cmcm (No. 63)
Inequivalent atoms, fractional coordinates:
Eu 0.0000 0.1396 0.2500 x4  7 Ge 3.11-3.26
Ge 0.0000 0.4265 0.2500 x4  2 Ge 2.58

=====

[10]
BaLi2Sc after structural relaxation, computed with GGA-PBEsol.

Summary:
Offset from the most stable computed form in eV per formula unit: 0.000
ΔH_f (0 K) in eV/atom: 0.29

Cell: 5.5079 5.5079 7.7610 Å, 90.00 90.00 90.00°
With the nearest neighbours (Å) after each atom.
Space group I4/mmm (No. 139)
Inequivalent atoms, fractional coordinates:
Ba 0.0000 0.0000 0.0000 x2  8 Li 3.37
Li 0.0000 0.5000 0.2500 x4  4 Ba 3.37, 4 Sc 3.37
Sc 0.0000 0.0000 0.5000 x2  8 Li 3.37

=====

[11]
CsY3Cd after structural relaxation, computed with GGA-PBEsol.

Summary:
ΔH_f (0 K) in eV/atom: 0.47

Cell: 5.7898 5.7898 5.7898 Å, 90.00 90.00 90.00°
With the nearest neighbours (Å) after each atom.
Space group Pm-3m (No. 221)
Inequivalent atoms, fractional coordinates:
Cs 0.0000 0.0000 0.0000 x1  12 Y 4.09
Y 0.0000 0.5000 0.5000 x3  2 Cd 2.89
Cd 0.5000 0.5000 0.5000 x1  6 Y 2.89

=====

[12]
LuHg after structural relaxation, computed with GGA-PBEsol.

Summary:
ΔH_f (0 K) in eV/atom: -0.58

Cell: 3.5822 3.5822 3.5822 Å, 90.00 90.00 90.00°
With the nearest neighbours (Å) after each atom.
Space group Pm-3m (No. 221)
Inequivalent atoms, fractional coordinates:
Lu 0.0000 0.0000 0.0000 x1  8 Hg 3.10
Hg 0.5000 0.5000 0.5000 x1  8 Lu 3.10

=====

Number 1: D(E_F) 0.74 states/eV per atom. Number 2: D(E_F) 0.94 states/eV per atom. Number 3: D(E_F) 0.59 states/eV per atom. Number 4: D(E_F) 2.12 states/eV per atom. Number 5: D(E_F) 1.20 states/eV per atom. Number 6: D(E_F) 0.76 states/eV per atom. Number 7: D(E_F) 0.29 states/eV per atom. Number 8: D(E_F) 0.00 states/eV per atom. Number 9: D(E_F) 3.85 states/eV per atom. Number 10: D(E_F) 1.21 states/eV per atom. Number 11: D(E_F) 1.35 states/eV per atom. Number 12: D(E_F) 0.57 states/eV per atom.